1.
This record from Alexandria describes an optimized crystal structure of YSi2Rh5. The functional is GGA-PBE.

Cell: 3.855 6.659 9.912 Å, 90.00 90.00 90.00°
Space group Immm (No. 71)
Unique sites:
1 Y 0.000 0.000 0.000 (multiplicity 2)
2 Si 0.000 0.500 0.234 (multiplicity 4)
3 Rh 0.000 0.204 0.355 (multiplicity 8)
4 Rh 0.000 0.500 0.000 (multiplicity 2)

Summary:
VASP energy = -120.8 eV/cell

***

2.
This record from Alexandria describes an optimized crystal structure of MnCrW3. The functional is GGA-PBE.

Cell: 4.431 4.431 4.431 Å, 90.00 90.00 90.00°
Space group Pm-3m (No. 221)
Unique sites:
1 Mn 0.000 0.000 0.000 (multiplicity 1)
2 Cr 0.500 0.500 0.500 (multiplicity 1)
3 W 0.000 0.500 0.500 (multiplicity 3)

Summary:
Formation enthalpy at 0 K = 1.7990 eV/atom
Energy above the lowest structure with this stoichiometry = 192.7 meV per atom

***

3.
This record from Alexandria describes an optimized crystal structure of K5Eu2Si4O13F. The functional is GGA-PBE.

Cell: 7.282 5.936 18.540 Å, 90.00 91.98 90.00°
Space group P2_1/m (No. 11)
Unique sites:
1 K 0.020 0.250 0.248 (multiplicity 2)
2 K 0.236 0.750 0.989 (multiplicity 2)
3 K 0.292 0.250 0.684 (multiplicity 2)
4 K 0.302 0.250 0.493 (multiplicity 2)
5 K 0.366 0.750 0.194 (multiplicity 2)
6 Eu 0.100 0.250 0.870 (multiplicity 2)
7 Eu 0.169 0.750 0.390 (multiplicity 2)
8 Si 0.169 0.750 0.584 (multiplicity 2)
9 Si 0.216 0.250 0.077 (multiplicity 2)
10 Si 0.420 0.750 0.830 (multiplicity 2)
11 Si 0.463 0.250 0.327 (multiplicity 2)
12 O 0.050 0.519 0.592 (multiplicity 4)
13 O 0.129 0.021 0.111 (multiplicity 4)
14 O 0.191 0.250 0.989 (multiplicity 2)
15 O 0.285 0.750 0.510 (multiplicity 2)
16 O 0.299 0.521 0.826 (multiplicity 4)
17 O 0.311 0.750 0.658 (multiplicity 2)
18 O 0.378 0.018 0.357 (multiplicity 4)
19 O 0.431 0.250 0.237 (multiplicity 2)
20 O 0.445 0.250 0.095 (multiplicity 2)
21 F 0.043 0.750 0.259 (multiplicity 2)

Summary:
VASP energy = -358.6 eV/cell